! Li3UNi2O6 | the Alexandria database | PBE with a Hubbard U | optimized geometry; values from VASP
! Crystal system: monoclinic
! DFT total energy, eV/atom: -6.402
&SYSTEM
  ibrav = 0, nat = 12, ntyp = 4
/
ATOMIC_SPECIES
Li 6.94 Li.upf
O 16.00 O.upf
Ni 58.69 Ni.upf
U 238.03 U.upf
ATOMIC_POSITIONS angstrom
Li 3.377 0.128 2.543
Li -1.577 2.989 2.543
Li 0.900 1.558 2.543
O 0.061 0.105 3.846
O -0.925 1.549 1.213
O 1.739 3.012 1.241
O 1.804 -0.027 1.213
O -0.004 3.144 3.873
O 2.725 1.568 3.873
Ni -0.022 3.067 0.054
Ni 2.668 1.514 0.054
U 0.000 0.000 0.000
CELL_PARAMETERS angstrom
5.353 -0.037 0.054
-2.707 4.619 0.054
-0.846 -1.465 4.979